No. 1
First-principles (PBE-GGA) data for Ca2MoW after structural relaxation, as listed in the Alexandria database.

Cell lengths 10.769, 10.769, 10.769 Å; angles 16.10, 16.10, 16.10 degrees
Fractional positions:
Ca (0.250, 0.250, 0.250)
Ca (0.750, 0.750, 0.750)
Mo (0.000, 0.000, 0.000)
W (0.500, 0.500, 0.500)

Values from the calculation:
* total magnetization: 0.000 μB/atom
* formation enthalpy at 0 K: 101.4 kJ/mol of atoms
* uncorrected energy: -5.90 eV per atom


No. 2
First-principles (PBE-GGA) data for CaMo2W after structural relaxation, as listed in the Alexandria database.

Cell lengths 5.555, 5.555, 5.555 Å; angles 147.05, 128.15, 62.82 degrees
Fractional positions:
Ca (0.000, 0.000, 0.000)
Mo (0.269, 0.769, 0.500)
Mo (0.499, 0.499, 0.000)
W (0.726, 0.226, 0.500)

Values from the calculation:
* total magnetization: 0.000 μB/atom
* formation enthalpy at 0 K: 66.1 kJ/mol of atoms
* uncorrected energy: -8.47 eV per atom


No. 3
First-principles (PBE-GGA) data for CaMo2W after structural relaxation, as listed in the Alexandria database.

Cell lengths 5.540, 5.540, 5.330 Å; angles 103.36, 103.36, 27.84 degrees
Fractional positions:
Ca (0.000, 0.000, 0.000)
Mo (0.232, 0.232, 0.737)
Mo (0.503, 0.503, 0.501)
W (0.771, 0.771, 0.281)

Values from the calculation:
* total magnetization: 0.000 μB/atom
* formation enthalpy at 0 K: 77.1 kJ/mol of atoms
* uncorrected energy: -8.35 eV per atom


No. 4
First-principles (PBE-GGA) data for CaMo2W after structural relaxation, as listed in the Alexandria database.

Cell lengths 5.520, 5.520, 2.719 Å; angles 99.65, 99.65, 115.77 degrees
Fractional positions:
Ca (0.000, 0.000, 0.000)
Mo (0.000, 0.500, 0.500)
Mo (0.500, 0.000, 0.500)
W (0.500, 0.500, 0.000)

Values from the calculation:
* total magnetization: 0.000 μB/atom
* formation enthalpy at 0 K: 66.8 kJ/mol of atoms
* uncorrected energy: -8.46 eV per atom


No. 5
First-principles (PBE-GGA) data for Ca2MoW after structural relaxation, as listed in the Alexandria database.

Cell lengths 6.045, 6.045, 6.045 Å; angles 146.58, 126.19, 64.85 degrees
Fractional positions:
Ca (0.000, 0.000, 0.000)
Ca (0.712, 0.212, 0.500)
Mo (0.438, 0.438, 0.000)
W (0.275, 0.775, 0.500)

Values from the calculation:
* total magnetization: 0.000 μB/atom
* formation enthalpy at 0 K: 58.6 kJ/mol of atoms
* uncorrected energy: -6.34 eV per atom


No. 6
First-principles (PBE-GGA) data for CaMo2W after structural relaxation, as listed in the Alexandria database.

Cell lengths 5.520, 5.520, 5.520 Å; angles 146.78, 126.55, 64.40 degrees
Fractional positions:
Ca (0.000, 0.000, 0.000)
Mo (0.271, 0.771, 0.500)
Mo (0.729, 0.229, 0.500)
W (0.500, 0.500, 0.000)

Values from the calculation:
* total magnetization: 0.000 μB/atom
* formation enthalpy at 0 K: 68.6 kJ/mol of atoms
* uncorrected energy: -8.44 eV per atom